Entry 1:
Er2CdGe | PBE | optimized geometry

Cell and atoms, written as extended XYZ:
```
4
Lattice="3.684 0.000 0.000 0.000 3.684 0.000 0.000 0.000 6.996" Properties=species:S:1:pos:R:3 pbc="T T T"
Er 0.000 0.000 1.638
Er 0.000 0.000 5.359
Cd 1.842 1.842 3.498
Ge 1.842 1.842 0.000
```

Output
- Calculated formation energy: -0.4793 eV/atom

***

Entry 2:
Pm4Nd4Er3 | PBE | optimized geometry

Cell and atoms, written as extended XYZ:
```
11
Lattice="-1.830 4.760 10.916 1.830 -4.760 10.916 1.830 4.760 -10.916" Properties=species:S:1:pos:R:3 pbc="T T T"
Pm 0.000 1.758 0.000
Pm 0.000 0.000 5.204
Pm 0.000 0.000 16.628
Pm 0.000 7.762 0.000
Nd 1.830 -1.669 7.802
Nd 0.000 3.091 3.113
Nd 1.830 1.669 7.802
Nd 0.000 6.429 3.113
Er 1.830 0.000 2.328
Er 0.000 0.000 10.916
Er 0.000 4.760 8.588
```

Output
- E above lowest polymorph: 65 meV per atom
- Calculated formation energy: 0.1208 eV/atom

***

Entry 3:
Er2AlSi3Pt4 | PBE | optimized geometry

Cell and atoms, written as extended XYZ:
```
10
Lattice="4.147 0.000 0.000 0.000 4.147 0.000 0.000 0.000 10.144" Properties=species:S:1:pos:R:3 pbc="T T T"
Er 0.000 2.074 2.529
Er 2.074 0.000 7.615
Al 0.000 0.000 5.072
Si 0.000 2.074 8.796
Si 2.074 0.000 1.348
Si 2.074 2.074 5.072
Pt 0.000 0.000 0.000
Pt 0.000 2.074 6.447
Pt 2.074 0.000 3.697
Pt 2.074 2.074 0.000
```

Output
- Formation energy (no corrections): -25.68 kcal/mol of atoms

***

Entry 4:
AlCr2Se | PBE | optimized geometry

Cell and atoms, written as extended XYZ:
```
4
Lattice="4.206 -1.505 0.000 4.206 1.505 0.000 -0.609 0.000 4.351" Properties=species:S:1:pos:R:3 pbc="T T T"
Al 0.000 0.000 0.000
Cr 1.628 0.000 3.259
Cr 6.176 0.000 1.091
Se 3.902 0.000 2.175
```

Output
- E above lowest polymorph: 271 meV per atom
- Formation energy (no corrections): 6.37 kcal/mol of atoms

***

Entry 5:
CeGdSnI | PBE | optimized geometry

Cell and atoms, written as extended XYZ:
```
4
Lattice="0.000 3.870 3.870 3.870 0.000 3.870 3.870 3.870 0.000" Properties=species:S:1:pos:R:3 pbc="T T T"
Ce 0.000 0.000 0.000
Gd 3.870 3.870 3.870
Sn 5.805 5.805 5.805
I 1.935 1.935 1.935
```

Output
- Formation energy (no corrections): -15.88 kcal/mol of atoms

***

Entry 6:
Sr2AlGa10 | PBE | optimized geometry

Cell and atoms, written as extended XYZ:
```
26
Lattice="5.768 0.000 0.000 0.000 7.125 0.000 -2.296 0.000 15.066" Properties=species:S:1:pos:R:3 pbc="T T T"
Sr -0.061 1.586 2.121
Sr -1.209 1.976 9.654
Sr 4.681 5.148 5.412
Sr 3.533 5.539 12.945
Al 2.884 0.000 0.000
Al 1.736 3.562 7.533
Ga 0.027 1.402 6.340
Ga -1.121 2.161 13.873
Ga 1.334 5.123 1.125
Ga 0.186 5.564 8.659
Ga 0.433 0.470 12.483
Ga 1.581 3.093 4.949
Ga 1.769 0.359 4.569
Ga 0.621 3.203 12.102
Ga 0.656 4.595 14.182
Ga 1.804 6.092 6.649
Ga 1.668 1.033 8.417
Ga 2.816 2.529 0.884
Ga 2.851 3.921 2.964
Ga 1.703 6.766 10.497
Ga 1.891 4.032 10.117
Ga 3.039 6.655 2.584
Ga 3.286 1.561 6.408
Ga 2.138 2.001 13.941
Ga 4.593 4.964 1.193
Ga 3.445 5.723 8.726
```

Output
- Calculated formation energy: -0.1728 eV/atom

***

Entry 7:
YHfSc3 | PBE | optimized geometry

Cell and atoms, written as extended XYZ:
```
5
Lattice="5.240 0.000 0.000 0.000 5.240 0.000 0.000 0.000 5.240" Properties=species:S:1:pos:R:3 pbc="T T T"
Y 0.000 0.000 0.000
Hf 2.620 2.620 2.620
Sc 0.000 2.620 2.620
Sc 2.620 0.000 2.620
Sc 2.620 2.620 0.000
```

Output
- E above lowest polymorph: 545 meV per atom
- Calculated formation energy: 0.5914 eV/atom

***

Entry 8:
CeNd2Ta | PBE | optimized geometry

Cell and atoms, written as extended XYZ:
```
4
Lattice="1.617 0.934 12.098 -1.617 0.934 12.098 0.000 -1.867 12.098" Properties=species:S:1:pos:R:3 pbc="T T T"
Ce 0.000 0.000 0.000
Nd 0.000 0.000 15.182
Nd 0.000 0.000 21.111
Ta 0.000 0.000 18.147
```

Output
- Calculated formation energy: 0.6567 eV/atom

***

Entry 9:
Pu6Bi3H | PBE | optimized geometry

Cell and atoms, written as extended XYZ:
```
20
Lattice="3.168 -8.226 0.000 3.168 8.226 0.000 0.000 0.000 9.374" Properties=species:S:1:pos:R:3 pbc="T T T"
Pu 1.594 4.017 5.245
Pu 3.168 7.210 4.687
Pu 3.168 4.984 3.544
Pu 1.594 0.719 5.808
Pu 1.594 -0.719 1.120
Pu 1.594 -4.017 0.558
Pu 4.741 4.017 5.245
Pu 4.741 0.719 5.808
Pu 4.741 -0.719 1.120
Pu 3.168 -4.984 8.231
Pu 3.168 -7.210 0.000
Pu 4.741 -4.017 0.558
Bi 1.581 1.944 2.822
Bi 1.581 -1.944 7.509
Bi 3.168 2.008 8.258
Bi 3.168 -2.008 3.570
Bi 4.754 1.944 2.822
Bi 4.754 -1.944 7.509
H 3.168 5.710 1.409
H 3.168 -5.710 6.097
```

Output
- VASP energy: -10.104 eV per atom

***

Entry 10:
LiMgIrAu | PBE | optimized geometry

Cell and atoms, written as extended XYZ:
```
4
Lattice="0.000 3.104 3.104 3.104 0.000 3.104 3.104 3.104 0.000" Properties=species:S:1:pos:R:3 pbc="T T T"
Li 0.000 0.000 0.000
Mg 3.104 3.104 3.104
Ir 1.552 1.552 1.552
Au 4.656 4.656 4.656
```

Output
- Calculated formation energy: -0.2907 eV/atom

***

Entry 11:
Al4AgTe7 | PBE | optimized geometry

Cell and atoms, written as extended XYZ:
```
24
Lattice="16.074 0.000 0.000 0.000 7.591 0.000 0.000 0.000 7.146" Properties=species:S:1:pos:R:3 pbc="T T T"
Al 2.069 1.314 0.000
Al 3.878 2.513 3.454
Al 4.159 5.078 7.027
Al 5.968 6.277 3.573
Al 10.106 6.277 3.573
Al 11.915 5.078 7.027
Al 12.196 2.513 3.454
Al 14.005 1.314 0.000
Ag 0.000 5.038 6.470
Ag 8.037 2.553 2.897
Te 0.000 2.370 5.907
Te 1.761 1.198 2.602
Te 2.240 6.520 5.957
Te 3.789 5.040 2.571
Te 4.248 2.552 6.144
Te 5.797 1.071 2.384
Te 6.276 6.394 6.175
Te 8.037 5.221 2.333
Te 9.798 6.394 6.175
Te 10.277 1.071 2.384
Te 11.826 2.552 6.144
Te 12.285 5.040 2.571
Te 13.834 6.520 5.957
Te 14.313 1.198 2.602
```

Output
- Formation energy (no corrections): -7.39 kcal/mol of atoms

***

Entry 12:
K2TiBO4 | PBE | optimized geometry

Cell and atoms, written as extended XYZ:
```
16
Lattice="0.000 5.714 10.437 2.375 0.000 10.437 2.375 5.714 0.000" Properties=species:S:1:pos:R:3 pbc="T T T"
K 1.781 4.286 1.051
K 2.969 7.143 6.270
K 1.781 4.286 14.604
K 2.969 7.143 19.823
Ti 0.594 1.429 2.609
Ti 4.157 10.000 18.265
B 1.781 4.286 7.828
B 2.969 7.143 13.046
O 2.698 3.410 6.996
O 2.698 5.161 8.660
O 3.885 6.267 13.878
O 3.885 8.018 12.214
O 0.865 3.410 8.660
O 0.865 5.161 6.996
O 2.053 6.267 12.214
O 2.053 8.018 13.878
```

Output
- Formation energy (no corrections): -47.93 kcal/mol of atoms

***

Entry 13:
TlIn2Br | PBE | optimized geometry

Cell and atoms, written as extended XYZ:
```
4
Lattice="0.000 3.914 3.914 3.914 0.000 3.914 3.914 3.914 0.000" Properties=species:S:1:pos:R:3 pbc="T T T"
Tl 0.000 0.000 0.000
In 1.957 1.957 1.957
In 3.914 3.914 3.914
Br 5.871 5.871 5.871
```

Output
- E above lowest polymorph: 153 meV per atom
- Formation energy (no corrections): -2.33 kcal/mol of atoms

***

Entry 14:
MnFeAg2 | PBE | optimized geometry

Cell and atoms, written as extended XYZ:
```
4
Lattice="0.000 3.051 3.051 3.051 0.000 3.051 3.051 3.051 0.000" Properties=species:S:1:pos:R:3 pbc="T T T"
Mn 0.000 0.000 0.000
Fe 3.051 3.051 3.051
Ag 1.526 1.526 1.526
Ag 4.577 4.577 4.577
```

Output
- E above lowest polymorph: 757 meV per atom
- Calculated formation energy: 1.0135 eV/atom

***

Entry 15:
AsPdSe2F | PBE | optimized geometry

Cell and atoms, written as extended XYZ:
```
5
Lattice="4.941 0.000 0.000 0.000 4.941 0.000 0.000 0.000 4.856" Properties=species:S:1:pos:R:3 pbc="T T T"
As 0.000 0.000 0.000
Pd 0.000 0.000 2.428
Se 0.000 2.470 2.428
Se 2.470 0.000 2.428
F 2.470 2.470 0.000
```

Output
- E above lowest polymorph: 0 meV per atom
- Formation energy (no corrections): 8.93 kcal/mol of atoms

***

Entry 16:
HfAsPb | PBE | optimized geometry

Cell and atoms, written as extended XYZ:
```
6
Lattice="4.121 0.000 0.000 0.000 4.121 0.000 0.000 0.000 8.272" Properties=species:S:1:pos:R:3 pbc="T T T"
Hf 1.030 1.030 1.447
Hf 3.091 3.091 6.826
As 1.030 1.030 7.083
As 3.091 3.091 1.189
Pb 1.030 3.091 4.136
Pb 3.091 1.030 4.136
```

Output
- Calculated formation energy: -0.1797 eV/atom

***

Entry 17:
Sr2Al2Hg | PBE | optimized geometry

Cell and atoms, written as extended XYZ:
```
10
Lattice="8.536 0.000 0.000 0.000 8.536 0.000 0.000 0.000 4.232" Properties=species:S:1:pos:R:3 pbc="T T T"
Sr 1.581 2.687 0.000
Sr 2.687 6.955 0.000
Sr 5.849 1.581 0.000
Sr 6.955 5.849 0.000
Al 0.926 5.194 2.116
Al 3.342 0.926 2.116
Al 5.194 7.609 2.116
Al 7.609 3.342 2.116
Hg 0.000 0.000 2.116
Hg 4.268 4.268 2.116
```

Output
- E above lowest polymorph: 0 meV per atom
- Calculated formation energy: -0.1128 eV/atom

***

Entry 18:
CaZrOs2 | PBE | optimized geometry

Cell and atoms, written as extended XYZ:
```
4
Lattice="-1.991 1.991 4.672 1.991 -1.991 4.672 1.991 1.991 -4.672" Properties=species:S:1:pos:R:3 pbc="T T T"
Ca 0.000 0.000 0.000
Zr 0.000 1.991 2.336
Os 1.991 0.000 2.336
Os 0.000 0.000 4.672
```

Output
- Calculated formation energy: 0.4664 eV/atom

***

Entry 19:
SmThSb2Pd2 | PBE | optimized geometry

Cell and atoms, written as extended XYZ:
```
6
Lattice="4.554 0.000 0.000 -2.277 3.944 0.000 0.000 0.000 8.137" Properties=species:S:1:pos:R:3 pbc="T T T"
Sm 0.000 0.000 0.000
Th 0.000 0.000 4.069
Sb 0.000 2.629 6.230
Sb 2.277 1.315 1.907
Pd 0.000 2.629 2.247
Pd 2.277 1.315 5.890
```

Output
- Formation energy (no corrections): -23.01 kcal/mol of atoms

***

Entry 20:
CdInP2 | PBE | optimized geometry

Cell and atoms, written as extended XYZ:
```
4
Lattice="-1.917 1.917 5.745 1.917 -1.917 5.745 1.917 1.917 -5.745" Properties=species:S:1:pos:R:3 pbc="T T T"
Cd 0.000 0.000 0.000
In 1.917 0.000 2.873
P 0.000 0.000 5.745
P 0.000 1.917 2.873
```

Output
- Calculated formation energy: 0.4061 eV/atom

***

Entry 21:
Th4AlPd15 | PBE | optimized geometry

Cell and atoms, written as extended XYZ:
```
20
Lattice="4.196 0.000 0.000 0.000 4.196 0.000 0.000 0.000 20.493" Properties=species:S:1:pos:R:3 pbc="T T T"
Th 0.000 0.000 2.140
Th 0.000 0.000 6.426
Th 0.000 0.000 14.067
Th 0.000 0.000 18.353
Al 0.000 0.000 10.247
Pd 0.000 2.098 0.000
Pd 0.000 2.098 4.222
Pd 0.000 2.098 8.443
Pd 0.000 2.098 12.050
Pd 0.000 2.098 16.272
Pd 2.098 0.000 0.000
Pd 2.098 0.000 4.222
Pd 2.098 0.000 8.443
Pd 2.098 0.000 12.050
Pd 2.098 0.000 16.272
Pd 2.098 2.098 2.094
Pd 2.098 2.098 6.320
Pd 2.098 2.098 10.247
Pd 2.098 2.098 14.174
Pd 2.098 2.098 18.399
```

Output
- Calculated formation energy: -0.8757 eV/atom

***

Entry 22:
NdTm5Al6 | PBE | optimized geometry

Cell and atoms, written as extended XYZ:
```
12
Lattice="-2.541 3.550 7.636 2.541 -3.550 7.636 2.541 3.550 -7.636" Properties=species:S:1:pos:R:3 pbc="T T T"
Nd 0.000 0.000 0.000
Tm 2.541 0.000 2.490
Tm 0.000 0.000 5.062
Tm 0.000 3.550 0.000
Tm 0.000 0.000 10.210
Tm 0.000 3.550 5.145
Al 2.541 -1.721 5.036
Al 2.541 1.883 0.000
Al 0.000 1.829 2.599
Al 2.541 1.721 5.036
Al 0.000 1.666 7.636
Al 0.000 5.271 2.599
```

Output
- Calculated formation energy: -0.3812 eV/atom

***

Entry 23:
Ca2TaAl2 | PBE | optimized geometry

Cell and atoms, written as extended XYZ:
```
5
Lattice="-1.772 1.772 10.333 1.772 -1.772 10.333 1.772 1.772 -10.333" Properties=species:S:1:pos:R:3 pbc="T T T"
Ca 0.000 0.000 2.234
Ca 0.000 0.000 18.432
Ta 0.000 0.000 10.333
Al 1.772 0.000 5.166
Al 0.000 1.772 5.166
```

Output
- E above lowest polymorph: 336 meV per atom
- Calculated formation energy: 0.5820 eV/atom